A plane-wave DFT calculation with GGA+U was carried out for a geometry-optimized MnTlIrO6 structure.

Lattice parameters (Å, degrees): 5.5002 5.5002 8.6147 90.00 90.00 120.00
Last column: nearest neighbours and their distance in Å.
Space group P-31c (No. 163)
Unique sites:
Mn 0.0000 0.0000 0.0000 x2  6 O 2.19
Tl 0.3333 0.6667 0.2500 x2  6 O 2.29
Ir 0.3333 0.6667 0.7500 x2  6 O 1.93
O 0.0500 0.3713 0.6236 x12  1 Ir 1.93

Results
Its total magnetization is 4.3 μB/f.u. As for the mass density: 8.06 g/cm3. As for the uncorrected energy: -6.12 eV per atom.